Record 1
4
Lattice="4.396 0.462 2.576 0.263 -1.466 4.894 2.666 -4.175 1.281" Properties=species:S:1:pos:R:3 comment="LaTiBr2 GGA-PBE relaxed" polymorph_energy_mev_per_atom=216 formation_energy_uncorrected_ev_per_atom=-0.441 m_tot_mub_per_cell=1.0 e_tot_ry_per_atom=-0.32947 volume_a3_per_atom=23.7 spacegroup="Fm-3m, No. 225" pbc="T T T"
Br 5.493 -3.883 6.563
Br 1.831 -1.294 2.188
Ti 0.000 0.000 0.000
La 3.662 -2.589 4.376

---

Record 2
4
Lattice="0.000 3.444 3.444 3.444 0.000 3.444 3.444 3.444 0.000" Properties=species:S:1:pos:R:3 comment="LaTi2Br GGA-PBE relaxed" polymorph_energy_mev_per_atom=324 formation_energy_uncorrected_ev_per_atom=0.497 m_tot_mub_per_cell=0.0 e_tot_ry_per_atom=-0.37490 volume_a3_per_atom=20.4 spacegroup="Fm-3m, No. 225" pbc="T T T"
La 3.444 3.444 3.444
Ti 5.166 5.166 5.166
Ti 1.722 1.722 1.722
Br 0.000 0.000 0.000

---

Record 3
10
Lattice="-3.471 -5.699 4.670 6.466 -4.831 -1.090 1.410 1.294 2.627" Properties=species:S:1:pos:R:3 comment="LaTi2Br2 GGA-PBE relaxed" polymorph_energy_mev_per_atom=411 formation_energy_uncorrected_ev_per_atom=0.141 m_tot_mub_per_cell=0.0 e_tot_ry_per_atom=-0.34335 volume_a3_per_atom=21.6 spacegroup="P4/mbm, No. 127" pbc="T T T"
La 1.498 -5.265 1.790
La 0.000 0.000 0.000
Ti 4.379 -6.443 0.824
Ti 0.930 -8.013 3.448
Ti 2.065 -2.517 0.132
Ti -1.383 -4.087 2.756
Br 4.427 -3.487 1.353
Br 3.814 -7.175 3.498
Br -0.022 -5.749 4.854
Br 0.591 -2.061 2.709

---

Record 4
4
Lattice="-9.529 2.585 -1.298 -8.857 4.124 1.928 -7.967 5.866 -1.139" Properties=species:S:1:pos:R:3 comment="LaTiBr2 GGA-PBE relaxed" polymorph_energy_mev_per_atom=0 formation_energy_uncorrected_ev_per_atom=-0.657 m_tot_mub_per_cell=2.2 e_tot_ry_per_atom=-0.34537 volume_a3_per_atom=27.9 spacegroup="R-3m, No. 166" pbc="T T T"
Ti 0.000 0.000 0.000
La -13.177 6.287 -0.255
Br -2.350 1.122 -0.045
Br -24.003 11.453 -0.464

---

Record 5
5
Lattice="4.990 0.000 0.000 0.000 4.990 0.000 2.495 2.495 4.549" Properties=species:S:1:pos:R:3 comment="LaTi2Br2 GGA-PBE relaxed" polymorph_energy_mev_per_atom=0 formation_energy_uncorrected_ev_per_atom=-0.270 m_tot_mub_per_cell=0.0 e_tot_ry_per_atom=-0.37355 volume_a3_per_atom=22.7 spacegroup="I4/mmm, No. 139" pbc="T T T"
Ti 2.495 2.495 1.070
Ti 4.990 4.990 3.479
La 0.000 0.000 0.000
Br 2.495 4.990 2.274
Br 4.990 2.495 2.274

---

Record 6
8
Lattice="-0.936 -7.179 -3.616 7.975 -0.375 -1.319 3.880 -5.112 0.090" Properties=species:S:1:pos:R:3 comment="LaTi2Br GGA-PBE relaxed" polymorph_energy_mev_per_atom=0 formation_energy_uncorrected_ev_per_atom=0.173 m_tot_mub_per_cell=0.0 e_tot_ry_per_atom=-0.39869 volume_a3_per_atom=23.8 spacegroup="I-42d, No. 122" pbc="T T T"
Ti 6.187 -6.697 -1.888
Ti 5.763 -2.983 -1.542
Ti 8.433 -10.414 -4.144
Ti 1.457 -5.239 -2.113
Br 7.688 -4.632 -1.848
Br 3.520 -3.777 -2.467
La 0.000 0.000 0.000
La 3.232 -8.034 -2.996

---

Record 7
5
Lattice="4.777 0.000 0.000 0.000 4.803 0.000 0.000 0.000 4.777" Properties=species:S:1:pos:R:3 comment="LaTiV2Br GGA-PBE relaxed" formation_energy_uncorrected_ev_per_atom=0.645 m_tot_mub_per_cell=3.8 e_tot_ry_per_atom=-0.43372 volume_a3_per_atom=21.9 spacegroup="P4/mmm, No. 123" pbc="T T T"
Br 0.000 0.000 0.000
V 0.000 0.000 2.388
V 2.388 0.000 0.000
Ti 0.000 2.402 0.000
La 2.388 2.402 2.388

---

Record 8
4
Lattice="-1.399 -1.310 5.338 4.099 -1.027 0.822 3.030 4.589 1.921" Properties=species:S:1:pos:R:3 comment="LaTlBr2 GGA-PBE relaxed" polymorph_energy_mev_per_atom=78 formation_energy_uncorrected_ev_per_atom=-1.107 m_tot_mub_per_cell=0.0 e_tot_ry_per_atom=-0.27687 volume_a3_per_atom=33.0 spacegroup="Amm2, No. 38" pbc="T T T"
Br 1.869 0.132 3.536
Br 0.322 0.276 0.152
La 2.789 1.937 1.206
Tl 4.313 1.686 4.558

---

Record 9
4
Lattice="-0.043 -2.580 -6.416 -0.418 -6.736 -1.505 -2.984 4.872 3.896" Properties=species:S:1:pos:R:3 comment="La2TlBr GGA-PBE relaxed" polymorph_energy_mev_per_atom=304 formation_energy_uncorrected_ev_per_atom=-0.558 m_tot_mub_per_cell=0.5 e_tot_ry_per_atom=-0.29629 volume_a3_per_atom=31.8 spacegroup="I-4m2, No. 119" pbc="T T T"
La 0.000 0.000 0.000
La -1.816 -3.261 -0.785
Tl -0.231 -4.658 -3.960
Br -1.629 -1.183 -3.240

---

Record 10
4
Lattice="-5.240 -1.315 -1.867 -2.690 -2.660 -4.285 -0.698 -5.670 2.417" Properties=species:S:1:pos:R:3 comment="LaTl2Br GGA-PBE relaxed" polymorph_energy_mev_per_atom=109 formation_energy_uncorrected_ev_per_atom=-0.572 m_tot_mub_per_cell=0.0 e_tot_ry_per_atom=-0.25028 volume_a3_per_atom=30.9 spacegroup="Cm, No. 8" pbc="T T T"
Br -4.389 -4.557 -2.094
Tl -8.593 -9.487 -3.785
Tl -6.435 -7.405 -2.667
La -2.156 -2.662 -0.793

---

Record 11
8
Lattice="6.290 0.000 0.000 0.000 6.290 0.000 3.145 3.145 8.381" Properties=species:S:1:pos:R:3 comment="La2TlBr GGA-PBE relaxed" polymorph_energy_mev_per_atom=437 formation_energy_uncorrected_ev_per_atom=-0.425 m_tot_mub_per_cell=0.0 e_tot_ry_per_atom=-0.28655 volume_a3_per_atom=41.4 spacegroup="I-42d, No. 122" pbc="T T T"
La 7.862 7.784 6.286
La 4.639 1.572 2.095
La 4.717 4.796 6.286
La 1.651 4.717 2.095
Br 3.145 3.145 0.000
Br 3.145 6.290 4.191
Tl 0.000 0.000 0.000
Tl 6.290 3.145 4.191

---

Record 12
4
Lattice="-4.656 3.602 -8.483 -1.616 1.856 -10.027 -4.753 -0.166 -9.164" Properties=species:S:1:pos:R:3 comment="LaTl2Br GGA-PBE relaxed" polymorph_energy_mev_per_atom=421 formation_energy_uncorrected_ev_per_atom=-0.260 m_tot_mub_per_cell=0.0 e_tot_ry_per_atom=-0.22736 volume_a3_per_atom=32.0 spacegroup="R-3m, No. 166" pbc="T T T"
Br -2.756 1.323 -6.919
La -8.269 3.969 -20.756
Tl -10.965 5.262 -27.523
Tl -5.573 2.675 -13.989

---

Record 13
7
Lattice="6.279 0.000 0.000 0.000 6.279 0.000 0.000 0.000 6.279" Properties=species:S:1:pos:R:3 comment="La3TlBr3 GGA-PBE relaxed" formation_energy_uncorrected_ev_per_atom=-1.292 m_tot_mub_per_cell=0.0 e_tot_ry_per_atom=-0.32771 volume_a3_per_atom=35.4 spacegroup="Pm-3m, No. 221" pbc="T T T"
La 3.139 3.139 0.000
La 3.139 0.000 3.139
La 0.000 3.139 3.139
Br 3.139 0.000 0.000
Br 0.000 3.139 0.000
Br 0.000 0.000 3.139
Tl 3.139 3.139 3.139

---

Record 14
4
Lattice="5.025 0.000 0.000 0.000 5.025 0.000 0.000 0.000 4.587" Properties=species:S:1:pos:R:3 comment="LaTlBr2 GGA-PBE relaxed" polymorph_energy_mev_per_atom=211 formation_energy_uncorrected_ev_per_atom=-0.974 m_tot_mub_per_cell=0.0 e_tot_ry_per_atom=-0.26707 volume_a3_per_atom=29.0 spacegroup="P4/mmm, No. 123" pbc="T T T"
La 2.512 0.000 2.294
Br 2.512 2.512 0.000
Br 0.000 0.000 0.000
Tl 0.000 2.512 2.294

---

Record 15
4
Lattice="3.824 0.016 0.000 -1.700 3.425 0.000 0.000 0.000 10.551" Properties=species:S:1:pos:R:3 comment="LaTlBr2 GGA-PBE relaxed" polymorph_energy_mev_per_atom=137 formation_energy_uncorrected_ev_per_atom=-1.048 m_tot_mub_per_cell=0.0 e_tot_ry_per_atom=-0.27256 volume_a3_per_atom=34.6 spacegroup="Cmmm, No. 65" pbc="T T T"
Br 0.000 0.000 0.393
Br 0.000 0.000 4.883
La 1.062 1.720 2.638
Tl 1.062 1.720 7.913

---

Record 16
4
Lattice="3.917 0.000 0.000 1.959 3.392 0.000 1.959 1.131 9.523" Properties=species:S:1:pos:R:3 comment="La2TlBr GGA-PBE relaxed" polymorph_energy_mev_per_atom=55 formation_energy_uncorrected_ev_per_atom=-0.807 m_tot_mub_per_cell=0.0 e_tot_ry_per_atom=-0.31460 volume_a3_per_atom=31.6 spacegroup="R3m, No. 160" pbc="T T T"
Br 3.917 2.262 4.760
Tl 3.917 2.262 0.008
La 1.959 1.131 7.078
La 1.959 1.131 2.438

---

Record 17
4
Lattice="0.000 3.976 3.976 3.976 0.000 3.976 3.976 3.976 0.000" Properties=species:S:1:pos:R:3 comment="LaTl2Br GGA-PBE relaxed" polymorph_energy_mev_per_atom=469 formation_energy_uncorrected_ev_per_atom=-0.212 m_tot_mub_per_cell=0.0 e_tot_ry_per_atom=-0.22385 volume_a3_per_atom=31.4 spacegroup="Fm-3m, No. 225" pbc="T T T"
Tl 5.963 5.963 5.963
Tl 1.988 1.988 1.988
La 3.976 3.976 3.976
Br 0.000 0.000 0.000

---

Record 18
4
Lattice="0.000 3.878 3.878 3.878 0.000 3.878 3.878 3.878 0.000" Properties=species:S:1:pos:R:3 comment="LaTlBr2 GGA-PBE relaxed" polymorph_energy_mev_per_atom=250 formation_energy_uncorrected_ev_per_atom=-0.935 m_tot_mub_per_cell=1.4 e_tot_ry_per_atom=-0.26424 volume_a3_per_atom=29.2 spacegroup="Fm-3m, No. 225" pbc="T T T"
La 0.000 0.000 0.000
Tl 3.878 3.878 3.878
Br 1.939 1.939 1.939
Br 5.818 5.818 5.818

---

Record 19
4
Lattice="-0.419 4.124 0.728 -2.218 0.402 -3.555 -6.343 -1.317 3.808" Properties=species:S:1:pos:R:3 comment="LaTlBr2 GGA-PBE relaxed" polymorph_energy_mev_per_atom=128 formation_energy_uncorrected_ev_per_atom=-1.057 m_tot_mub_per_cell=0.0 e_tot_ry_per_atom=-0.27320 volume_a3_per_atom=33.3 spacegroup="P4mm, No. 99" pbc="T T T"
Tl -5.995 1.292 1.394
La -2.634 -0.547 1.582
Br -3.319 1.848 -0.212
Br -0.203 -0.042 0.122

---

Record 20
4
Lattice="8.196 0.133 -0.046 5.951 5.637 0.046 -6.859 -3.411 2.917" Properties=species:S:1:pos:R:3 comment="La2TlBr GGA-PBE relaxed" polymorph_energy_mev_per_atom=142 formation_energy_uncorrected_ev_per_atom=-0.720 m_tot_mub_per_cell=0.0 e_tot_ry_per_atom=-0.30822 volume_a3_per_atom=33.2 spacegroup="Imm2, No. 44" pbc="T T T"
Tl 6.366 2.596 0.000
La 0.606 0.247 0.000
La 4.869 0.074 1.436
Br 2.521 2.326 1.482

---

Record 21
4
Lattice="3.668 0.000 0.000 0.000 3.668 0.000 0.000 0.000 10.294" Properties=species:S:1:pos:R:3 comment="LaTlBr2 GGA-PBE relaxed" polymorph_energy_mev_per_atom=4 formation_energy_uncorrected_ev_per_atom=-1.181 m_tot_mub_per_cell=0.0 e_tot_ry_per_atom=-0.28231 volume_a3_per_atom=34.6 spacegroup="P4/mmm, No. 123" pbc="T T T"
Br 0.000 0.000 0.789
Br 0.000 0.000 4.357
Tl 1.834 1.834 7.720
La 1.834 1.834 2.573

---

Record 22
4
Lattice="-0.783 5.145 1.968 -4.090 3.169 -2.046 -4.465 1.136 3.120" Properties=species:S:1:pos:R:3 comment="La2TlBr GGA-PBE relaxed" polymorph_energy_mev_per_atom=672 formation_energy_uncorrected_ev_per_atom=-0.190 m_tot_mub_per_cell=0.0 e_tot_ry_per_atom=-0.26925 volume_a3_per_atom=30.5 spacegroup="F-43m, No. 216" pbc="T T T"
La -2.335 2.363 0.760
La 0.000 0.000 0.000
Tl -7.004 7.088 2.281
Br -4.669 4.725 1.521

---

Record 23
4
Lattice="5.603 0.006 0.000 4.244 3.658 0.000 1.445 0.538 6.110" Properties=species:S:1:pos:R:3 comment="LaTlBr2 GGA-PBE relaxed" polymorph_energy_mev_per_atom=64 formation_energy_uncorrected_ev_per_atom=-1.121 m_tot_mub_per_cell=0.0 e_tot_ry_per_atom=-0.27790 volume_a3_per_atom=31.3 spacegroup="C2/m, No. 12" pbc="T T T"
La 2.823 1.050 1.527
Tl 8.469 3.151 4.582
Br 9.616 3.578 0.213
Br 5.876 2.187 2.841

---

Record 24
4
Lattice="3.738 0.026 0.000 -1.450 3.445 0.000 0.000 0.000 11.025" Properties=species:S:1:pos:R:3 comment="La2TlBr GGA-PBE relaxed" polymorph_energy_mev_per_atom=408 formation_energy_uncorrected_ev_per_atom=-0.454 m_tot_mub_per_cell=0.0 e_tot_ry_per_atom=-0.28869 volume_a3_per_atom=35.6 spacegroup="Cmm2, No. 35" pbc="T T T"
Br 1.144 1.736 8.658
Tl 0.000 0.000 5.393
La 1.144 1.736 2.684
La 0.000 0.000 10.828

---

Record 25
6
Lattice="-0.779 4.845 4.087 2.647 5.679 -1.238 -3.689 4.963 -1.597" Properties=species:S:1:pos:R:3 comment="LaTl4Br GGA-PBE relaxed" formation_energy_uncorrected_ev_per_atom=-0.186 m_tot_mub_per_cell=0.0 e_tot_ry_per_atom=-0.21046 volume_a3_per_atom=30.7 spacegroup="F-43m, No. 216" pbc="T T T"
La 0.000 0.000 0.000
Tl -0.683 5.807 0.469
Tl -1.073 8.230 2.513
Tl 0.641 8.647 -0.150
Tl -2.528 8.289 -0.330
Br -1.366 11.615 0.938

---

Record 26
8
Lattice="-2.759 -3.567 -2.639 4.351 -2.785 -0.783 -0.899 -8.247 6.914" Properties=species:S:1:pos:R:3 comment="LaTlBr2 GGA-PBE relaxed" polymorph_energy_mev_per_atom=237 formation_energy_uncorrected_ev_per_atom=-0.948 m_tot_mub_per_cell=0.0 e_tot_ry_per_atom=-0.26519 volume_a3_per_atom=34.6 spacegroup="I-42d, No. 122" pbc="T T T"
Tl -1.431 -7.495 1.282
Tl 0.000 0.000 0.000
Br 0.580 -11.655 2.216
Br -1.317 -4.526 0.065
Br 2.062 -4.363 0.825
Br 0.062 -8.657 3.877
La 2.124 -7.105 2.210
La 0.796 -3.176 -1.711

---

Record 27
6
Lattice="-1.689 -6.291 -0.726 -5.212 -1.595 -3.640 0.828 -2.969 -5.784" Properties=species:S:1:pos:R:3 comment="La4TlBr GGA-PBE relaxed" formation_energy_uncorrected_ev_per_atom=-0.004 m_tot_mub_per_cell=0.0 e_tot_ry_per_atom=-0.29124 volume_a3_per_atom=33.2 spacegroup="F-43m, No. 216" pbc="T T T"
La -3.120 -7.170 -4.193
La -2.297 -4.105 -3.839
La -1.894 -5.552 -6.657
La -4.836 -4.882 -5.613
Br 0.000 0.000 0.000
Tl -4.555 -8.141 -7.613

---

Record 28
4
Lattice="-1.424 3.392 -0.801 -1.674 -2.002 2.714 6.188 4.238 6.942" Properties=species:S:1:pos:R:3 comment="LaTl2Br GGA-PBE relaxed" polymorph_energy_mev_per_atom=441 formation_energy_uncorrected_ev_per_atom=-0.240 m_tot_mub_per_cell=0.0 e_tot_ry_per_atom=-0.22590 volume_a3_per_atom=32.1 spacegroup="Cmmm, No. 65" pbc="T T T"
La 3.092 3.873 6.163
Tl 0.104 0.071 0.117
Tl 2.990 2.047 3.354
Br -0.002 1.755 2.692

---

Record 29
4
Lattice="6.749 -0.001 0.000 3.837 5.553 0.000 -5.293 -2.776 3.135" Properties=species:S:1:pos:R:3 comment="LaTl2Br GGA-PBE relaxed" polymorph_energy_mev_per_atom=112 formation_energy_uncorrected_ev_per_atom=-0.570 m_tot_mub_per_cell=0.0 e_tot_ry_per_atom=-0.25010 volume_a3_per_atom=29.4 spacegroup="I4/mmm, No. 139" pbc="T T T"
La 3.375 -0.001 1.568
Tl 5.293 2.776 0.000
Tl 0.000 0.000 0.000
Br 1.919 2.776 1.568